1.
Below is a relaxed PuAg2Te2 crystal, with properties calculated at the PBE level.

Output
The calculation puts the density at 8.7 g cm⁻³. The raw formation energy is -0.384 eV/atom. The space group is C2/m, No. 12. The calculation puts the raw total energy at -28.240 eV per cell. The value obtained for the total magnetic moment is 6.0 μB per cell. As for the density of states at the Fermi level: 2.617 states/eV per atom.

Structure (POSCAR):
```
PuAg2Te2
1.0
4.690 0.035 0.646
1.414 4.472 0.646
0.301 0.223 6.609
Pu Ag Te
1 2 2
Direct
0.000 0.000 0.000
0.246 0.754 0.500
0.754 0.246 0.500
0.685 0.685 0.771
0.315 0.315 0.229
```

***

2.
Below is a relaxed LiAgBrO4 crystal, with properties calculated at the PBE level.

Output
The calculation puts the density at 4.4 g cm⁻³. The raw formation energy is -0.269 eV/atom. The space group is Imma, No. 74. The calculation puts the raw total energy at -56.313 eV per cell. The value obtained for the total magnetic moment is 0.0 μB per cell. As for the density of states at the Fermi level: 0.134 states/eV per atom.

Structure (POSCAR):
```
LiAgBrO4
1.0
-3.997 -0.931 4.999
-5.479 -3.280 -0.808
-0.210 -5.716 2.951
Li Ag Br O
2 2 2 8
Direct
0.000 0.000 0.000
0.000 0.500 0.500
0.500 0.000 0.500
0.000 0.000 0.500
0.690 0.560 0.060
0.310 0.440 0.940
0.776 0.775 0.672
0.224 0.828 0.725
0.776 0.172 0.275
0.224 0.225 0.328
0.365 0.677 0.177
0.781 0.677 0.177
0.219 0.323 0.823
0.635 0.323 0.823
```

***

3.
Below is a relaxed TaNbCrTc crystal, with properties calculated at the PBE level.

Output
The calculation puts the density at 11.3 g cm⁻³. The space group is P4mm, No. 99. The calculation puts the raw total energy at -42.797 eV per cell. The value obtained for the total magnetic moment is 0.0 μB per cell. The value obtained for the formation energy is -0.22 eV/atom. As for the density of states at the Fermi level: 0.850 states/eV per atom.

Structure (POSCAR):
```
TaNbCrTc
1.0
-2.415 -1.953 0.496
0.583 -1.418 -2.746
3.869 -4.044 2.909
Ta Nb Cr Tc
1 1 1 1
Direct
0.000 0.000 0.863
0.000 0.000 0.351
0.500 0.500 0.107
0.500 0.500 0.608
```

***

4.
Below is a relaxed Ba3SrH7 crystal, with properties calculated at the PBE level.

Output
The calculation puts the density at 3.6 g cm⁻³. The space group is C222_1, No. 20. The calculation puts the raw total energy at -71.883 eV per cell. The value obtained for the total magnetic moment is 0.0 μB per cell. As for the density of states at the Fermi level: 0.260 states/eV per atom.

Structure (POSCAR):
```
Ba3SrH7
1.0
7.587 0.008 0.000
-2.620 7.120 0.000
0.000 0.000 8.750
Ba Sr H
6 2 14
Direct
0.500 0.500 0.500
0.500 0.500 0.000
0.531 0.002 0.251
0.469 0.998 0.751
0.002 0.531 0.749
0.998 0.469 0.249
0.001 0.001 0.500
0.999 0.999 0.000
0.656 0.901 0.523
0.344 0.099 0.023
0.901 0.656 0.477
0.099 0.344 0.977
0.100 0.345 0.521
0.900 0.655 0.021
0.345 0.100 0.479
0.655 0.900 0.979
0.370 0.630 0.250
0.630 0.370 0.750
0.629 0.371 0.250
0.371 0.629 0.750
0.910 0.090 0.250
0.090 0.910 0.750
```

***

5.
Below is a relaxed CdPtW2 crystal, with properties calculated at the PBE level.

Output
The calculation puts the density at 16.8 g cm⁻³. The space group is C2/m, No. 12. The calculation puts the raw total energy at -31.852 eV per cell. The value obtained for the total magnetic moment is 0.0 μB per cell. The value obtained for the formation energy is 0.25 eV/atom. As for the density of states at the Fermi level: 0.497 states/eV per atom.

Structure (POSCAR):
```
CdPtW2
1.0
5.128 -0.005 0.003
4.347 2.720 0.003
0.853 0.245 4.790
W Pt Cd
2 1 1
Direct
0.991 0.991 0.012
0.509 0.509 0.488
0.250 0.250 0.250
0.750 0.750 0.750
```

***

6.
Below is a relaxed Al8Cu2Ni crystal, with properties calculated at the PBE level.

Output
The calculation puts the density at 4.0 g cm⁻³. The space group is Immm, No. 71. The calculation puts the raw total energy at -44.958 eV per cell. The value obtained for the total magnetic moment is 0.0 μB per cell. The value obtained for the formation energy is -0.09 eV/atom. As for the density of states at the Fermi level: 0.458 states/eV per atom.

Structure (POSCAR):
```
Al8Cu2Ni
1.0
-3.671 -0.984 0.958
-0.664 -3.593 -6.234
4.157 -2.602 5.244
Al Cu Ni
8 2 1
Direct
0.663 0.896 0.326
0.337 0.570 0.674
0.146 0.146 0.293
0.000 0.298 0.000
0.854 0.854 0.707
0.663 0.430 0.326
0.337 0.104 0.674
0.000 0.702 0.000
0.181 0.681 0.363
0.819 0.319 0.637
0.500 0.000 0.000
```

***

7.
Below is a relaxed Na2LiGa3Ag12 crystal, with properties calculated at the PBE level.

Output
The calculation puts the density at 7.4 g cm⁻³. The space group is R-3m, No. 166. The calculation puts the raw total energy at -47.033 eV per cell. The value obtained for the total magnetic moment is 0.0 μB per cell. The value obtained for the formation energy is 0.05 eV/atom. As for the density of states at the Fermi level: 0.366 states/eV per atom.

Structure (POSCAR):
```
Na2LiGa3Ag12
1.0
-7.014 -0.166 1.008
-0.710 -7.050 -0.195
0.183 -1.056 7.006
Na Li Ga Ag
2 1 3 12
Direct
0.618 0.618 0.618
0.382 0.382 0.382
0.000 0.000 0.000
0.500 0.000 0.000
0.000 0.500 0.000
0.000 0.000 0.500
0.382 0.382 0.932
0.806 0.806 0.300
0.300 0.806 0.806
0.932 0.382 0.382
0.806 0.300 0.806
0.382 0.932 0.382
0.618 0.618 0.068
0.194 0.194 0.700
0.700 0.194 0.194
0.068 0.618 0.618
0.194 0.700 0.194
0.618 0.068 0.618
```

***

8.
Below is a relaxed UMnPt6 crystal, with properties calculated at the PBE level.

Output
The calculation puts the density at 18.3 g cm⁻³. The space group is P4/mmm, No. 123. The calculation puts the raw total energy at -61.408 eV per cell. The value obtained for the total magnetic moment is 5.4 μB per cell. The value obtained for the formation energy is -0.59 eV/atom. As for the density of states at the Fermi level: 0.708 states/eV per atom.

Structure (POSCAR):
```
UMnPt6
1.0
4.089 0.000 0.000
0.000 5.699 -0.036
0.000 0.037 5.699
U Mn Pt
1 1 6
Direct
0.500 0.000 0.000
0.500 0.500 0.500
0.000 0.749 0.251
0.000 0.251 0.749
0.000 0.749 0.749
0.000 0.251 0.251
0.500 0.500 0.000
0.500 0.000 0.500
```

***

9.
Below is a relaxed PaGaSiN crystal, with properties calculated at the PBE level.

Output
The calculation puts the density at 8.9 g cm⁻³. The raw formation energy is -0.751 eV/atom. The space group is P4/nmm, No. 129. The calculation puts the raw total energy at -58.553 eV per cell. The value obtained for the total magnetic moment is 0.0 μB per cell. As for the density of states at the Fermi level: 0.332 states/eV per atom.

Structure (POSCAR):
```
PaGaSiN
1.0
-2.119 0.407 3.528
1.230 -3.770 1.174
6.017 2.981 3.271
Pa Ga Si N
2 2 2 2
Direct
0.000 0.500 0.852
0.500 0.000 0.148
0.500 0.000 0.690
0.000 0.500 0.310
0.000 0.000 0.500
0.500 0.500 0.500
0.500 0.500 0.000
0.000 0.000 0.000
```

***

10.
Below is a relaxed BaTm2CuS4 crystal, with properties calculated at the PBE level.

Output
The calculation puts the density at 6.2 g cm⁻³. The raw formation energy is -1.733 eV/atom. The space group is Cmcm, No. 63. The calculation puts the raw total energy at -90.666 eV per cell. The value obtained for the total magnetic moment is 0.0 μB per cell. As for the density of states at the Fermi level: 0.211 states/eV per atom.

Structure (POSCAR):
```
BaTm2CuS4
1.0
-1.409 3.418 1.455
-4.245 -1.869 -5.145
-7.610 -6.872 8.776
Ba Tm Cu S
2 4 2 8
Direct
0.115 0.229 0.750
0.885 0.771 0.250
0.372 0.744 0.557
0.628 0.256 0.057
0.628 0.256 0.443
0.372 0.744 0.943
0.844 0.688 0.750
0.156 0.312 0.250
0.264 0.527 0.112
0.736 0.473 0.612
0.736 0.473 0.888
0.264 0.527 0.388
0.000 0.000 0.500
0.000 0.000 0.000
0.433 0.866 0.750
0.567 0.134 0.250
```

***

11.
Below is a relaxed CeNbH4 crystal, with properties calculated at the PBE level.

Output
The calculation puts the density at 6.6 g cm⁻³. The space group is Imma, No. 74. The calculation puts the raw total energy at -62.790 eV per cell. The value obtained for the total magnetic moment is 1.3 μB per cell. As for the density of states at the Fermi level: 0.971 states/eV per atom.

Structure (POSCAR):
```
CeNbH4
1.0
5.211 0.395 0.000
-0.386 5.100 0.000
-2.412 -2.747 4.470
Ce Nb H
2 2 8
Direct
0.368 0.618 0.235
0.632 0.382 0.765
0.117 0.867 0.735
0.883 0.133 0.265
0.000 0.194 0.000
0.500 0.806 0.000
0.211 0.500 0.500
0.789 0.500 0.500
0.211 0.000 0.500
0.500 0.194 0.000
0.789 0.000 0.500
0.000 0.806 0.000
```

***

12.
Below is a relaxed HfCuF3 crystal, with properties calculated at the PBE level.

Output
The calculation puts the density at 6.7 g cm⁻³. The raw formation energy is -2.024 eV/atom. The space group is Pm-3m, No. 221. The calculation puts the raw total energy at -29.785 eV per cell. The value obtained for the total magnetic moment is 0.0 μB per cell. As for the density of states at the Fermi level: 1.133 states/eV per atom.

Structure (POSCAR):
```
HfCuF3
1.0
4.197 0.000 0.000
0.000 4.197 0.000
0.000 0.000 4.197
Hf Cu F
1 1 3
Direct
0.000 0.000 0.000
0.500 0.500 0.500
0.000 0.500 0.000
0.000 0.000 0.500
0.500 0.000 0.000
```

***

Which of these has the highest total magnetic moment? PuAg2Te2